No. 1
This record from Alexandria via LeMat-Bulk describes a relaxed Pm2Nd4HoTm2 crystal. The functional is PBE.

Lattice parameters (Å, degrees): 5.123 8.105 8.050 107.60 90.00 108.43
Fractional coordinates of all 9 atoms:
Pm 0.888 0.777 0.330
Pm 0.112 0.223 0.670
Nd 0.778 0.556 0.670
Nd 0.222 0.444 0.330
Nd 0.555 0.109 0.330
Nd 0.445 0.891 0.670
Ho 0.000 0.000 0.000
Tm 0.333 0.666 0.000
Tm 0.667 0.334 0.000

Summary:
N(E_F) ... 14.4 states/eV/cell
E ... -41.88 eV per formula unit
Formation energy ... 23 meV per atom
SG ... No. 12

=====

No. 2
This record from Alexandria via LeMat-Bulk describes a relaxed Y2ZnSn2Rh5 crystal. The functional is PBE.

Lattice parameters (Å, degrees): 3.647 10.115 10.115 90.00 90.00 90.00
Fractional coordinates of all 20 atoms:
Y 0.000 0.669 0.169
Y 0.000 0.331 0.831
Y 0.000 0.169 0.331
Y 0.000 0.831 0.669
Zn 0.000 0.000 0.000
Zn 0.000 0.500 0.500
Sn 0.000 0.132 0.632
Sn 0.000 0.868 0.368
Sn 0.000 0.632 0.868
Sn 0.000 0.368 0.132
Rh 0.500 0.195 0.057
Rh 0.500 0.805 0.943
Rh 0.500 0.057 0.805
Rh 0.500 0.695 0.443
Rh 0.500 0.943 0.195
Rh 0.500 0.305 0.557
Rh 0.500 0.557 0.695
Rh 0.500 0.443 0.305
Rh 0.500 0.500 0.000
Rh 0.500 0.000 0.500

Summary:
N(E_F) ... 5.9 states/eV/cell
E ... -64.24 eV per formula unit
Formation energy ... -528 meV per atom
SG ... No. 127